Entry 1:
The following is a DFT calculation (GGA-PBE) of crystalline Sr2Ni2P2N at its relaxed geometry.

Values from the calculation:
raw total energy	-38.98	eV per cell
theoretical density	4.920	Mg/m³

The structure in CIF format:
```
data_Sr2Ni2P2N
_cell_length_a 3.878
_cell_length_b 5.982
_cell_length_c 6.220
_cell_angle_alpha 69.18
_cell_angle_beta 71.84
_cell_angle_gamma 71.08
_space_group_name_H-M_alt 'P 1'
_space_group_IT_number 1
loop_
_space_group_symop_operation_xyz
'x,y,z'
loop_
_atom_site_label
_atom_site_type_symbol
_atom_site_fract_x
_atom_site_fract_y
_atom_site_fract_z
P1 P 0.193 0.371 0.242
P2 P 0.807 0.629 0.758
N1 N 0.000 0.000 0.000
Sr1 Sr 0.554 0.191 0.701
Sr2 Sr 0.446 0.809 0.299
Ni1 Ni 0.813 0.293 0.081
Ni2 Ni 0.187 0.707 0.919
```

Entry 2:
The following is a DFT calculation (GGA-PBE) of crystalline SrNiPN at its relaxed geometry.

Values from the calculation:
raw total energy	-23.97	eV per cell
theoretical density	4.697	Mg/m³

The structure in CIF format:
```
data_SrNiPN
_cell_length_a 3.942
_cell_length_b 3.744
_cell_length_c 4.950
_cell_angle_alpha 112.21
_cell_angle_beta 90.00
_cell_angle_gamma 90.00
_space_group_name_H-M_alt 'P 1'
_space_group_IT_number 1
loop_
_space_group_symop_operation_xyz
'x,y,z'
loop_
_atom_site_label
_atom_site_type_symbol
_atom_site_fract_x
_atom_site_fract_y
_atom_site_fract_z
P1 P 0.000 0.830 0.041
Ni1 Ni 0.000 0.211 0.803
Sr1 Sr 0.500 0.517 0.416
N1 N 0.000 0.010 0.401
```

Entry 3:
The following is a DFT calculation (GGA-PBE) of crystalline NiTePN2 at its relaxed geometry.

Values from the calculation:
theoretical density	5.175	Mg/m³
E above lowest polymorph	0.0000	eV/atom

The structure in CIF format:
```
data_NiTePN2
_cell_length_a 3.407
_cell_length_b 3.407
_cell_length_c 6.782
_cell_angle_alpha 90.00
_cell_angle_beta 90.00
_cell_angle_gamma 90.00
_space_group_name_H-M_alt 'P 1'
_space_group_IT_number 1
loop_
_space_group_symop_operation_xyz
'x,y,z'
loop_
_atom_site_label
_atom_site_type_symbol
_atom_site_fract_x
_atom_site_fract_y
_atom_site_fract_z
Ni1 Ni 0.500 0.500 0.500
P1 P 0.000 0.000 0.000
N1 N 0.500 0.000 0.000
N2 N 0.000 0.500 0.000
Te1 Te 0.000 0.000 0.500
```

Question: Among the records above, which one has the highest theoretical density?
Answer: NiTePN2